1.
RbSiPd3: optimized geometry, GGA-PBE.

Computed properties:
**Magnetization**: 0.00 μB/f.u.
**E above lowest polymorph**: 0.0 meV/atom
**DFT total energy**: -22.42 eV/cell

abc: 4.7480 4.7480 4.7480
angles: 90.00 90.00 90.00
Closest atoms and distances in Å follow each position.
Fractional positions:
Rb  0.0000  0.0000  0.0000  12 Pd 3.36
Si  0.5000  0.5000  0.5000  6 Pd 2.37
Pd  0.0000  0.5000  0.5000  2 Si 2.37
Pd  0.5000  0.0000  0.5000  2 Si 2.37
Pd  0.5000  0.5000  0.0000  2 Si 2.37

2.
TiTlCd2: optimized geometry, GGA-PBE.

Computed properties:
**Energy relative to the elements**: 1.70 eV/f.u.
**Magnetization**: 0.02 μB/f.u.
**E above lowest polymorph**: 352.4 meV/atom
**DFT total energy**: -31.18 eV/cell

abc: 3.1332 3.1332 33.7918
angles: 90.00 90.00 120.00
Closest atoms and distances in Å follow each position.
Fractional positions:
Ti  0.0000  0.0000  0.0000  2 Cd 2.82, 6 Ti 3.13
Ti  0.3333  0.6667  0.6667  2 Cd 2.82, 6 Ti 3.13
Ti  0.6667  0.3333  0.3333  2 Cd 2.82, 6 Ti 3.13
Tl  0.0000  0.0000  0.5000  6 Tl 3.13, 6 Cd 3.34
Tl  0.3333  0.6667  0.1667  6 Tl 3.13, 6 Cd 3.34
Tl  0.6667  0.3333  0.8333  6 Tl 3.13, 6 Cd 3.34
Cd  0.0000  0.0000  0.0835  1 Ti 2.82, 6 Cd 3.13
Cd  0.0000  0.0000  0.9165  1 Ti 2.82, 6 Cd 3.13
Cd  0.3333  0.6667  0.5831  1 Ti 2.82, 6 Cd 3.13
Cd  0.3333  0.6667  0.7502  1 Ti 2.82, 6 Cd 3.13
Cd  0.6667  0.3333  0.2498  1 Ti 2.82, 6 Cd 3.13
Cd  0.6667  0.3333  0.4169  1 Ti 2.82, 6 Cd 3.13

3.
Ta2CuSi: optimized geometry, GGA-PBE.

Computed properties:
**Magnetization**: 0.00 μB/f.u.
**DFT total energy**: -66.79 eV/cell

abc: 3.6421 4.5050 7.5984
angles: 90.00 90.00 90.00
Closest atoms and distances in Å follow each position.
Fractional positions:
Ta  0.0000  0.0000  0.0000  4 Cu 2.68-2.99, 6 Ta 2.90-2.92
Ta  0.0000  0.5000  0.3008  2 Si 2.60, 4 Ta 2.90
Ta  0.5000  0.0000  0.3008  2 Si 2.60, 4 Ta 2.90
Ta  0.5000  0.5000  0.0000  4 Cu 2.68-2.99, 6 Ta 2.90-2.92
Cu  0.0000  0.5000  0.7420  2 Si 2.36
Cu  0.5000  0.0000  0.7420  2 Si 2.36
Si  0.0000  0.0000  0.5448  2 Cu 2.36, 2 Ta 2.60
Si  0.5000  0.5000  0.5448  2 Cu 2.36, 2 Ta 2.60

4.
Ho8Zn2Os: optimized geometry, GGA-PBE.

Computed properties:
**Energy relative to the elements**: -2.13 eV/f.u.
**Magnetization**: 0.00 μB/f.u.
**E above lowest polymorph**: 0.0 meV/atom
**DFT total energy**: -52.53 eV/cell

abc: 9.0407 9.0407 6.7661
angles: 107.56 107.56 32.90
Closest atoms and distances in Å follow each position.
Fractional positions:
Ho  0.0262  0.0262  0.2919  1 Zn 2.93, 2 Os 3.02, 1 Ho 3.22
Ho  0.1985  0.1985  0.8094  1 Zn 2.83
Ho  0.3398  0.3398  0.5327  1 Os 2.86, 3 Zn 2.89-3.17
Ho  0.4089  0.4089  0.0660  1 Os 2.86
Ho  0.5911  0.5911  0.9340  1 Os 2.86
Ho  0.6602  0.6602  0.4673  1 Os 2.86, 3 Zn 2.89-3.17
Ho  0.8015  0.8015  0.1906  1 Zn 2.83
Ho  0.9738  0.9738  0.7081  1 Zn 2.93, 2 Os 3.02, 1 Ho 3.22
Zn  0.1831  0.1831  0.2139  3 Ho 2.83-2.93
Zn  0.8169  0.8169  0.7861  3 Ho 2.83-2.93
Os  0.5000  0.5000  0.5000  8 Ho 2.86-3.02

5.
SrS3Br: optimized geometry, GGA-PBE.

Computed properties:
**Magnetization**: 5.00 μB/f.u.
**E above lowest polymorph**: 523.3 meV/atom
**DFT total energy**: -13.92 eV/cell

abc: 5.8006 5.8006 5.8006
angles: 90.00 90.00 90.00
Closest atoms and distances in Å follow each position.
Fractional positions:
Sr  0.0000  0.0000  0.0000  6 S 2.90
S  0.0000  0.0000  0.5000  2 Sr 2.90
S  0.0000  0.5000  0.0000  2 Sr 2.90
S  0.5000  0.0000  0.0000  2 Sr 2.90
Br  0.5000  0.5000  0.5000  12 S 4.10

6.
Ba2Li4Sn3Pb: optimized geometry, GGA-PBE.

Computed properties:
**Energy relative to the elements**: -4.27 eV/f.u.
**Magnetization**: 0.00 μB/f.u.
**DFT total energy**: -31.49 eV/cell

abc: 4.8794 4.8794 11.5332
angles: 90.00 90.00 90.00
Closest atoms and distances in Å follow each position.
Fractional positions:
Ba  0.0000  0.5000  0.2399  8 Li 3.69-3.72, 7 Sn 3.74-4.10, 2 Pb 3.87
Ba  0.5000  0.0000  0.7601  8 Li 3.69-3.72, 7 Sn 3.74-4.10, 2 Pb 3.87
Li  0.0000  0.0000  0.0000  4 Sn 2.78
Li  0.0000  0.5000  0.6395  3 Sn 2.82-2.92, 2 Pb 2.92
Li  0.5000  0.0000  0.3605  3 Sn 2.82-2.92, 2 Pb 2.92
Li  0.5000  0.5000  0.0000  4 Sn 2.78
Sn  0.0000  0.5000  0.8843  5 Li 2.78-2.82
Sn  0.5000  0.0000  0.1157  5 Li 2.78-2.82
Sn  0.5000  0.5000  0.5000  4 Li 2.92
Pb  0.0000  0.0000  0.5000  4 Li 2.92

7.
Ti3TeRh: optimized geometry, GGA-PBE.

Computed properties:
**Magnetization**: 0.68 μB/f.u.
**E above lowest polymorph**: 0.0 meV/atom
**DFT total energy**: -33.71 eV/cell

abc: 4.7511 4.7511 4.7511
angles: 90.00 90.00 90.00
Closest atoms and distances in Å follow each position.
Fractional positions:
Ti  0.0000  0.0000  0.5000  2 Rh 2.38
Ti  0.0000  0.5000  0.0000  2 Rh 2.38
Ti  0.5000  0.0000  0.0000  2 Rh 2.38
Te  0.5000  0.5000  0.5000  12 Ti 3.36
Rh  0.0000  0.0000  0.0000  6 Ti 2.38

8.
MgTl2AgBi2: optimized geometry, GGA-PBE.

Computed properties:
**Energy relative to the elements**: -0.30 eV/f.u.
**Magnetization**: 0.00 μB/f.u.
**DFT total energy**: -34.48 eV/cell

abc: 9.5450 9.5450 9.5450
angles: 140.10 58.22 139.42
Closest atoms and distances in Å follow each position.
Fractional positions:
Mg  0.2500  0.2500  0.0000  4 Bi 3.05, 2 Ag 3.26, 2 Mg 3.31
Mg  0.7500  0.7500  0.0000  4 Bi 3.05, 2 Ag 3.26, 2 Mg 3.31
Tl  0.1729  0.2504  0.4233  5 Bi 3.35-3.51, 2 Ag 3.70, 2 Mg 3.70
Tl  0.3271  0.7504  0.0775  5 Bi 3.35-3.51, 2 Ag 3.70, 2 Mg 3.70
Tl  0.6729  0.2496  0.9225  5 Bi 3.35-3.51, 2 Ag 3.70, 2 Mg 3.70
Tl  0.8271  0.7496  0.5767  5 Bi 3.35-3.51, 2 Ag 3.70, 2 Mg 3.70
Ag  0.2500  0.7500  0.5000  4 Bi 3.01, 2 Mg 3.26, 2 Ag 3.31
Ag  0.7500  0.2500  0.5000  4 Bi 3.01, 2 Mg 3.26, 2 Ag 3.31
Bi  0.1166  0.7449  0.8615  2 Ag 3.01, 2 Mg 3.05, 1 Tl 3.35
Bi  0.3834  0.2449  0.6283  2 Ag 3.01, 2 Mg 3.05, 1 Tl 3.35
Bi  0.6166  0.7551  0.3717  2 Ag 3.01, 2 Mg 3.05, 1 Tl 3.35
Bi  0.8834  0.2551  0.1385  2 Ag 3.01, 2 Mg 3.05, 1 Tl 3.35

9.
ZrZn2In: optimized geometry, GGA-PBE.

Computed properties:
**Energy relative to the elements**: 0.37 eV/f.u.
**Magnetization**: 0.00 μB/f.u.
**DFT total energy**: -53.84 eV/cell

abc: 7.4991 7.4991 5.8983
angles: 90.00 90.00 90.00
Closest atoms and distances in Å follow each position.
Fractional positions:
Zr  0.0000  0.0000  0.0000  4 Zn 2.80, 2 In 2.95
Zr  0.0000  0.5000  0.2500  4 Zn 2.80, 2 In 2.95
Zr  0.5000  0.0000  0.7500  4 Zn 2.80, 2 In 2.95
Zr  0.5000  0.5000  0.5000  4 Zn 2.80, 2 In 2.95
Zn  0.2397  0.7500  0.6250  2 In 2.70, 2 Zr 2.80, 2 Zn 2.95
Zn  0.2500  0.2397  0.3750  2 In 2.70, 2 Zr 2.80, 2 Zn 2.95
Zn  0.2500  0.2603  0.8750  2 In 2.70, 2 Zr 2.80, 2 Zn 2.95
Zn  0.2603  0.7500  0.1250  2 In 2.70, 2 Zr 2.80, 2 Zn 2.95
Zn  0.7397  0.2500  0.1250  2 In 2.70, 2 Zr 2.80, 2 Zn 2.95
Zn  0.7500  0.7397  0.8750  2 In 2.70, 2 Zr 2.80, 2 Zn 2.95
Zn  0.7500  0.7603  0.3750  2 In 2.70, 2 Zr 2.80, 2 Zn 2.95
Zn  0.7603  0.2500  0.6250  2 In 2.70, 2 Zr 2.80, 2 Zn 2.95
In  0.0000  0.0000  0.5000  4 Zn 2.70, 2 Zr 2.95
In  0.0000  0.5000  0.7500  4 Zn 2.70, 2 Zr 2.95
In  0.5000  0.0000  0.2500  4 Zn 2.70, 2 Zr 2.95
In  0.5000  0.5000  0.0000  4 Zn 2.70, 2 Zr 2.95

10.
Pu6TaSn10: optimized geometry, GGA-PBE.

Computed properties:
**Energy relative to the elements**: -3.61 eV/f.u.
**Magnetization**: 33.18 μB/f.u.
**DFT total energy**: -141.49 eV/cell

abc: 9.1210 9.1210 6.1341
angles: 90.00 90.00 120.00
Closest atoms and distances in Å follow each position.
Fractional positions:
Pu  0.0000  0.3917  0.2702  9 Sn 3.15-3.47, 1 Pu 3.44
Pu  0.0000  0.6083  0.7298  9 Sn 3.15-3.47, 1 Pu 3.44
Pu  0.3917  0.0000  0.2702  9 Sn 3.15-3.47, 1 Pu 3.44
Pu  0.3917  0.3917  0.7298  9 Sn 3.15-3.47, 1 Pu 3.44
Pu  0.6083  0.0000  0.7298  9 Sn 3.15-3.47, 1 Pu 3.44
Pu  0.6083  0.6083  0.2702  9 Sn 3.15-3.47, 1 Pu 3.44
Ta  0.0000  0.0000  0.5000  6 Sn 2.85
Sn  0.0000  0.2435  0.7920  1 Ta 2.85, 2 Pu 3.15
Sn  0.0000  0.7565  0.2080  1 Ta 2.85, 2 Pu 3.15
Sn  0.2435  0.0000  0.7920  1 Ta 2.85, 2 Pu 3.15
Sn  0.2435  0.2435  0.2080  1 Ta 2.85, 2 Pu 3.15
Sn  0.3333  0.6667  0.0000  2 Sn 3.07, 6 Pu 3.26
Sn  0.3333  0.6667  0.5000  2 Sn 3.07, 6 Pu 3.15
Sn  0.6667  0.3333  0.0000  2 Sn 3.07, 6 Pu 3.26
Sn  0.6667  0.3333  0.5000  2 Sn 3.07, 6 Pu 3.15
Sn  0.7565  0.0000  0.2080  1 Ta 2.85, 2 Pu 3.15
Sn  0.7565  0.7565  0.7920  1 Ta 2.85, 2 Pu 3.15

11.
Sc2VIn: optimized geometry, GGA-PBE.

Computed properties:
**Energy relative to the elements**: 0.33 eV/f.u.
**Magnetization**: 0.01 μB/f.u.
**DFT total energy**: -72.58 eV/cell

abc: 3.1545 3.1545 29.0347
angles: 90.00 90.00 120.00
Closest atoms and distances in Å follow each position.
Fractional positions:
Sc  0.0000  0.0000  0.2437  3 V 2.89, 6 Sc 3.15, 3 In 3.18
Sc  0.0000  0.0000  0.7563  3 V 2.89, 6 Sc 3.15, 3 In 3.18
Sc  0.3333  0.6667  0.4229  3 V 2.89, 6 Sc 3.15, 3 In 3.18
Sc  0.3333  0.6667  0.9104  3 V 2.89, 6 Sc 3.15, 3 In 3.18
Sc  0.6667  0.3333  0.0896  3 V 2.89, 6 Sc 3.15, 3 In 3.18
Sc  0.6667  0.3333  0.5771  3 V 2.89, 6 Sc 3.15, 3 In 3.18
V  0.0000  0.0000  0.5000  6 Sc 2.89, 6 V 3.15
V  0.3333  0.6667  0.1667  6 Sc 2.89, 6 V 3.15
V  0.6667  0.3333  0.8333  6 Sc 2.89, 6 V 3.15
In  0.0000  0.0000  0.0000  6 In 3.15, 6 Sc 3.18
In  0.3333  0.6667  0.6667  6 In 3.15, 6 Sc 3.18
In  0.6667  0.3333  0.3333  6 In 3.15, 6 Sc 3.18

12.
Nd6Si2Pb: optimized geometry, GGA-PBE.

Computed properties:
**Magnetization**: 0.00 μB/f.u.
**DFT total energy**: -95.52 eV/cell

abc: 8.8479 8.8479 8.8479
angles: 112.92 110.29 105.30
Closest atoms and distances in Å follow each position.
Fractional positions:
Nd  0.0282  0.2372  0.7910  2 Si 3.07-3.36, 1 Pb 3.31
Nd  0.1895  0.2801  0.4695  3 Si 3.12-3.34, 1 Pb 3.34
Nd  0.1895  0.7199  0.9094  3 Si 3.12-3.34, 1 Pb 3.34
Nd  0.3187  0.0235  0.7047  3 Si 3.00-3.05
Nd  0.3187  0.6140  0.2953  3 Si 3.00-3.05
Nd  0.4462  0.2372  0.2090  2 Si 3.07-3.36, 1 Pb 3.31
Nd  0.5538  0.7628  0.7910  2 Si 3.07-3.36, 1 Pb 3.31
Nd  0.6813  0.3860  0.7047  3 Si 3.00-3.05
Nd  0.6813  0.9765  0.2953  3 Si 3.00-3.05
Nd  0.8105  0.2801  0.0906  3 Si 3.12-3.34, 1 Pb 3.34
Nd  0.8105  0.7199  0.5305  3 Si 3.12-3.34, 1 Pb 3.34
Nd  0.9718  0.7628  0.2090  2 Si 3.07-3.36, 1 Pb 3.31
Si  0.1112  0.6112  0.5000  1 Si 2.39
Si  0.3779  0.0000  0.3779  1 Si 2.47
Si  0.6221  0.0000  0.6221  1 Si 2.47
Si  0.8888  0.3888  0.5000  1 Si 2.39
Pb  0.0000  0.0000  0.0000  8 Nd 3.31-3.34
Pb  0.5000  0.5000  0.0000  12 Nd 3.48-3.81